Here is a geometry-optimized TmTh2PtRh5 structure from Alexandria via LeMat-Bulk. Energies are from PBE-GGA.

As for the crystal system: tetragonal. The value obtained for the total magnetization is 0.00 μB per cell. The density is 11.82 g/cm3. The formation energy is -0.41 eV per atom. The calculation puts the electronic total energy at -7.31 eV/atom.

Cell and atoms, written as CIF:
```
data_TmTh2PtRh5
_cell_length_a 8.426
_cell_length_b 8.426
_cell_length_c 10.623
_cell_angle_alpha 90.00
_cell_angle_beta 90.00
_cell_angle_gamma 90.00
_space_group_name_H-M_alt 'I 4/m c m'
_space_group_IT_number 140
_space_group_name_Hall '-I 4 2c'
loop_
_atom_site_label
_atom_site_type_symbol
_atom_site_fract_x
_atom_site_fract_y
_atom_site_fract_z
_atom_site_occupancy
Tm1 Tm 0.000 0.000 0.250 1
Th1 Th 0.139 0.361 0.000 1
Pt1 Pt 0.000 0.500 0.250 1
Rh1 Rh 0.000 0.000 0.000 1
Rh2 Rh 0.189 0.311 0.364 1
```